[1]
## Tl2Ag2SbS4 (PBE-GGA)

Data for an optimized crystal structure of Tl2Ag2SbS4.

Unit cell a=3.981 b=8.039 c=7.774 alpha=114.42 beta=90.00 gamma=104.34
Atoms (fractional coordinates):
Tl1 0.854 0.709 0.442
Tl2 0.146 0.291 0.558
Ag1 0.321 0.643 0.056
Ag2 0.679 0.357 0.944
Sb1 0.000 0.000 0.000
S1 0.809 0.619 0.812
S2 0.191 0.381 0.188
S3 0.499 0.998 0.239
S4 0.501 0.002 0.761

## Properties
Uncorrected formation energy: -1.51 eV/f.u.

[2]
## La2HIN (PBE-GGA)

Data for an optimized crystal structure of La2HIN.

Unit cell a=4.935 b=5.410 c=4.935 alpha=90.00 beta=90.00 gamma=90.00
Atoms (fractional coordinates):
I1 0.000 0.500 0.000
H1 0.500 0.500 0.500
N1 0.000 0.000 0.000
La1 0.000 0.000 0.500
La2 0.500 0.000 0.000

## Properties
Energy relative to the lowest polymorph listed for this composition: 0.0 meV per atom

[3]
## Zn2Bi2Au (PBE-GGA)

Data for an optimized crystal structure of Zn2Bi2Au.

Unit cell a=3.706 b=3.706 c=8.939 alpha=78.04 beta=78.04 gamma=90.00
Atoms (fractional coordinates):
Zn1 0.750 0.250 0.500
Zn2 0.250 0.750 0.500
Au1 0.000 0.000 0.000
Bi1 0.395 0.395 0.210
Bi2 0.605 0.605 0.790

## Properties
Energy relative to the lowest polymorph listed for this composition: 41.8 meV per atom
Calculated formation energy: 11 kJ/mol of atoms

[4]
## Pu2AgP (PBE-GGA)

Data for an optimized crystal structure of Pu2AgP.

Unit cell a=3.489 b=3.489 c=7.332 alpha=90.00 beta=90.00 gamma=90.00
Site moments in Bohr magnetons follow the coordinates.
Atoms (fractional coordinates):
P1 0.500 0.500 0.000  -0.15
Ag1 0.500 0.500 0.500  0.06
Pu1 0.000 0.000 0.789  5.49
Pu2 0.000 0.000 0.211  5.49

## Properties
Energy relative to the lowest polymorph listed for this composition: 0.0 meV per atom
Calculated formation energy: -48 kJ/mol of atoms

[5]
## K2AlAs (PBE-GGA)

Data for an optimized crystal structure of K2AlAs.

Unit cell a=6.224 b=6.224 c=6.224 alpha=136.88 beta=136.90 gamma=62.61
Site moments in Bohr magnetons follow the coordinates.
Atoms (fractional coordinates):
As1 0.750 0.250 0.500  0.04
K1 0.000 0.000 0.000  0.04
K2 0.500 0.500 0.000  0.04
Al1 0.250 0.750 0.500  0.10

## Properties
Energy relative to the lowest polymorph listed for this composition: 416.6 meV per atom
Calculated formation energy: 15 kJ/mol of atoms

[6]
## ZrCr (PBE-GGA)

Data for an optimized crystal structure of ZrCr.

Unit cell a=4.243 b=4.243 c=4.243 alpha=60.00 beta=60.00 gamma=60.00
Site moments in Bohr magnetons follow the coordinates.
Atoms (fractional coordinates):
Cr1 0.000 0.000 0.000  3.17
Zr1 0.750 0.750 0.750  0.21

## Properties
Calculated formation energy: 195 kJ/mol of atoms

[7]
## Tb4Ga2Ag (PBE-GGA)

Data for an optimized crystal structure of Tb4Ga2Ag.

Unit cell a=5.075 b=5.075 c=8.683 alpha=73.01 beta=73.01 gamma=60.00
Atoms (fractional coordinates):
Tb1 0.871 0.871 0.386
Tb2 0.129 0.129 0.614
Tb3 0.620 0.620 0.140
Tb4 0.380 0.380 0.860
Ag1 0.000 0.000 0.000
Ga1 0.750 0.750 0.751
Ga2 0.250 0.250 0.249

## Properties
Energy relative to the lowest polymorph listed for this composition: 0.0 meV per atom
Calculated formation energy: -35 kJ/mol of atoms

[8]
## CaScAl (PBE-GGA)

Data for an optimized crystal structure of CaScAl.

Unit cell a=3.421 b=6.792 c=7.005 alpha=75.38 beta=89.98 gamma=75.43
Atoms (fractional coordinates):
Sc1 0.955 0.350 0.232
Sc2 0.222 0.815 0.881
Ca1 0.936 0.388 0.740
Ca2 0.240 0.779 0.372
Al1 0.588 0.083 0.557
Al2 0.588 0.083 0.056

## Properties
Energy relative to the lowest polymorph listed for this composition: 55.1 meV per atom
Calculated formation energy: -12 kJ/mol of atoms

[9]
## CsPd3Pt (PBE-GGA)

Data for an optimized crystal structure of CsPd3Pt.

Unit cell a=5.108 b=5.108 c=5.108 alpha=90.00 beta=90.00 gamma=90.00
Atoms (fractional coordinates):
Cs1 0.000 0.000 0.000
Pd1 0.000 0.500 0.000
Pd2 0.000 0.000 0.500
Pd3 0.500 0.000 0.000
Pt1 0.500 0.500 0.500

## Properties
Energy relative to the lowest polymorph listed for this composition: 1225.7 meV per atom
Calculated formation energy: 170 kJ/mol of atoms

[10]
## NiIr5 (PBE-GGA)

Data for an optimized crystal structure of NiIr5.

Unit cell a=3.822 b=3.836 c=6.070 alpha=108.42 beta=90.00 gamma=90.00
Atoms (fractional coordinates):
Ni1 0.000 0.000 0.000
Ir1 0.500 0.835 0.671
Ir2 0.000 0.669 0.338
Ir3 0.500 0.500 0.000
Ir4 0.000 0.331 0.662
Ir5 0.500 0.165 0.329

## Properties
Energy relative to the lowest polymorph listed for this composition: 11.0 meV per atom
Calculated formation energy: 4 kJ/mol of atoms

[11]
## ZrCuAgCl6 (PBE-GGA)

Data for an optimized crystal structure of ZrCuAgCl6.

Unit cell a=6.419 b=6.419 c=12.292 alpha=90.00 beta=90.00 gamma=120.00
Site moments in Bohr magnetons follow the coordinates.
Atoms (fractional coordinates):
Zr1 0.667 0.333 0.250  0.00
Zr2 0.333 0.667 0.750  0.00
Cu1 0.333 0.667 0.250  0.10
Cu2 0.667 0.333 0.750  0.10
Ag1 0.000 0.000 0.000  0.00
Ag2 0.000 0.000 0.500  0.00
Cl1 0.650 0.644 0.133  0.00
Cl2 0.994 0.350 0.133  0.00
Cl3 0.350 0.994 0.633  0.00
Cl4 0.006 0.650 0.867  0.00
Cl5 0.356 0.350 0.367  0.00
Cl6 0.994 0.644 0.367  0.00
Cl7 0.644 0.994 0.867  0.00
Cl8 0.650 0.006 0.367  0.00
Cl9 0.006 0.356 0.633  0.00
Cl10 0.356 0.006 0.133  0.00
Cl11 0.644 0.650 0.633  0.00
Cl12 0.350 0.356 0.867  0.00

## Properties
Uncorrected formation energy: -10.24 eV/f.u.

[12]
## Rb2PmZn3F12 (PBE-GGA)

Data for an optimized crystal structure of Rb2PmZn3F12.

Unit cell a=7.517 b=7.517 c=7.517 alpha=60.28 beta=60.28 gamma=60.28
Atoms (fractional coordinates):
Rb1 0.618 0.618 0.618
Rb2 0.382 0.382 0.382
Pm1 0.000 0.000 0.000
Zn1 0.500 0.000 0.000
Zn2 0.000 0.500 0.000
Zn3 0.000 0.000 0.500
F1 0.295 0.295 0.909
F2 0.897 0.897 0.370
F3 0.370 0.897 0.897
F4 0.909 0.295 0.295
F5 0.897 0.370 0.897
F6 0.295 0.909 0.295
F7 0.705 0.705 0.091
F8 0.103 0.103 0.630
F9 0.630 0.103 0.103
F10 0.091 0.705 0.705
F11 0.103 0.630 0.103
F12 0.705 0.091 0.705

## Properties
Uncorrected formation energy: -48.60 eV/f.u.

Number 1: DFT total energy -32.6 eV/cell. Number 2: DFT total energy -24.0 eV/cell. Number 3: DFT total energy -13.0 eV/cell. Number 4: DFT total energy -38.9 eV/cell. Number 5: DFT total energy -10.0 eV/cell. Number 6: DFT total energy -14.1 eV/cell. Number 7: DFT total energy -30.0 eV/cell. Number 8: DFT total energy -24.9 eV/cell. Number 9: DFT total energy -13.7 eV/cell. Number 10: DFT total energy -49.8 eV/cell. Number 11: DFT total energy -73.6 eV/cell. Number 12: DFT total energy -81.6 eV/cell.